First-principles (meta-GGA SCAN) data for Mn2AlTe at its PBEsol-relaxed geometry, as listed in the Alexandria database.

a = 4.6641 Å, b = 4.6641 Å, c = 4.6641 Å
α = 128.09°, β = 128.09°, γ = 76.49°
With the nearest neighbours (Å) after each atom.
Atoms (fractional coordinates):
Mn (0.2500, 0.7500, 0.5000)  4 Te 2.74, 4 Al 2.74, 4 Mn 2.89
Mn (0.7500, 0.2500, 0.5000)  4 Te 2.74, 4 Al 2.74, 4 Mn 2.89
Al (0.0000, 0.0000, 0.0000)  8 Mn 2.74, 4 Te 2.89
Te (0.5000, 0.5000, 0.0000)  8 Mn 2.74, 4 Al 2.89

## Properties
formation energy from raw total energies	34	meV per atom
E	-20.344	eV/atom
relative energy among the computed polymorphs	0.029	eV per atom
D(E_F)	1.92	states/eV/f.u.

---

First-principles (meta-GGA SCAN) data for MgBeS2N at its PBEsol-relaxed geometry, as listed in the Alexandria database.

a = 4.6555 Å, b = 4.6555 Å, c = 3.1471 Å
α = 90.00°, β = 90.00°, γ = 90.00°
With the nearest neighbours (Å) after each atom.
Atoms (fractional coordinates):
Mg (0.0000, 0.0000, 0.0000)  8 S 2.81
Be (0.5000, 0.5000, 0.5000)  2 N 1.57
S (0.0000, 0.5000, 0.5000)  2 Be 2.33
S (0.5000, 0.0000, 0.5000)  2 Be 2.33
N (0.5000, 0.5000, 0.0000)  2 Be 1.57

## Properties
formation energy from raw total energies	23	meV per atom
E	-7.552	eV/atom
D(E_F)	2.42	states/eV/f.u.

---

First-principles (meta-GGA SCAN) data for RbBa3Ta at its PBEsol-relaxed geometry, as listed in the Alexandria database.

a = 6.0554 Å, b = 6.0554 Å, c = 6.0554 Å
α = 90.00°, β = 90.00°, γ = 90.00°
With the nearest neighbours (Å) after each atom.
Atoms (fractional coordinates):
Rb (0.0000, 0.0000, 0.0000)  6 Ba 3.03
Ba (0.0000, 0.0000, 0.5000)  2 Rb 3.03
Ba (0.0000, 0.5000, 0.0000)  2 Rb 3.03
Ba (0.5000, 0.0000, 0.0000)  2 Rb 3.03
Ta (0.5000, 0.5000, 0.5000)  12 Ba 4.28

## Properties
E	-39.447	eV/atom
calculated formation energy	1.75	eV per atom
D(E_F)	5.86	states/eV/f.u.

---

First-principles (meta-GGA SCAN) data for YCd2 at its PBEsol-relaxed geometry, as listed in the Alexandria database.

a = 6.7099 Å, b = 6.7099 Å, c = 4.8587 Å
α = 90.00°, β = 90.00°, γ = 140.87°
With the nearest neighbours (Å) after each atom.
Atoms (fractional coordinates):
Y (0.0943, 0.9057, 0.7500)  10 Cd 3.05-3.31, 2 Y 3.40
Y (0.9057, 0.0943, 0.2500)  10 Cd 3.05-3.31, 2 Y 3.40
Cd (0.2397, 0.7603, 0.2500)  4 Cd 2.95-3.26, 4 Y 3.05-3.07
Cd (0.4115, 0.5885, 0.7500)  6 Cd 2.95-3.30, 2 Y 3.22
Cd (0.5885, 0.4115, 0.2500)  6 Cd 2.95-3.30, 2 Y 3.22
Cd (0.7603, 0.2397, 0.7500)  4 Cd 2.95-3.26, 4 Y 3.05-3.07

## Properties
E	-29.919	eV/atom
calculated formation energy	-0.36	eV per atom
D(E_F)	1.59	states/eV/f.u.

---

First-principles (meta-GGA SCAN) data for ZnCo2Os at its PBEsol-relaxed geometry, as listed in the Alexandria database.

a = 8.2817 Å, b = 8.2817 Å, c = 8.2817 Å
α = 18.13°, β = 18.13°, γ = 18.13°
With the nearest neighbours (Å) after each atom.
Atoms (fractional coordinates):
Zn (0.0000, 0.0000, 0.0000)  6 Co 2.54, 6 Zn 2.61
Co (0.2497, 0.2497, 0.2497)  3 Os 2.53, 3 Zn 2.54, 6 Co 2.61
Co (0.7503, 0.7503, 0.7503)  3 Os 2.53, 3 Zn 2.54, 6 Co 2.61
Os (0.5000, 0.5000, 0.5000)  6 Co 2.53, 6 Os 2.61

## Properties
E	-29.851	eV/atom
calculated formation energy	0.15	eV per atom
D(E_F)	2.10	states/eV/f.u.

---

First-principles (meta-GGA SCAN) data for La2CdCl at its PBEsol-relaxed geometry, as listed in the Alexandria database.

a = 7.6235 Å, b = 7.6235 Å, c = 7.6235 Å
α = 32.50°, β = 32.50°, γ = 32.50°
With the nearest neighbours (Å) after each atom.
Atoms (fractional coordinates):
La (0.2383, 0.2383, 0.2383)  3 Cl 2.91, 3 Cd 3.21
La (0.7617, 0.7617, 0.7617)  3 Cl 2.91, 3 Cd 3.21
Cd (0.0000, 0.0000, 0.0000)  6 La 3.21
Cl (0.5000, 0.5000, 0.5000)  6 La 2.91

## Properties
formation energy from raw total energies	-1036	meV per atom
E	-32.186	eV/atom
relative energy among the computed polymorphs	0.014	eV per atom
D(E_F)	3.01	states/eV/f.u.

---

First-principles (meta-GGA SCAN) data for TiRu3N at its PBEsol-relaxed geometry, as listed in the Alexandria database.

a = 3.9709 Å, b = 3.9709 Å, c = 3.9709 Å
α = 90.00°, β = 90.00°, γ = 90.00°
With the nearest neighbours (Å) after each atom.
Atoms (fractional coordinates):
Ti (0.0000, 0.0000, 0.0000)  12 Ru 2.81
Ru (0.0000, 0.5000, 0.5000)  2 N 1.99
Ru (0.5000, 0.0000, 0.5000)  2 N 1.99
Ru (0.5000, 0.5000, 0.0000)  2 N 1.99
N (0.5000, 0.5000, 0.5000)  6 Ru 1.99

## Properties
formation energy from raw total energies	-197	meV per atom
E	-26.157	eV/atom
D(E_F)	3.78	states/eV/f.u.

---

First-principles (meta-GGA SCAN) data for La6Ni20As13 at its PBEsol-relaxed geometry, as listed in the Alexandria database.

a = 13.0965 Å, b = 13.0965 Å, c = 3.9748 Å
α = 90.00°, β = 90.00°, γ = 120.00°
With the nearest neighbours (Å) after each atom.
Atoms (fractional coordinates):
La (0.0491, 0.8496, 0.0000)  6 As 3.07-3.10, 10 Ni 3.08-3.22
La (0.1504, 0.1996, 0.0000)  6 As 3.07-3.10, 10 Ni 3.08-3.22
La (0.5180, 0.1302, 0.5000)  6 As 3.00-3.11, 9 Ni 3.08-3.24
La (0.6122, 0.4820, 0.5000)  6 As 3.00-3.11, 9 Ni 3.08-3.24
La (0.8004, 0.9509, 0.0000)  6 As 3.07-3.10, 10 Ni 3.08-3.22
La (0.8698, 0.3878, 0.5000)  6 As 3.00-3.11, 9 Ni 3.08-3.24
Ni (0.0000, 0.0000, 0.5000)  3 As 2.39
Ni (0.0125, 0.5898, 0.0000)  4 As 2.35-2.40, 1 Ni 2.47
Ni (0.0970, 0.3592, 0.5000)  4 As 2.38-2.43, 1 Ni 2.58
Ni (0.1939, 0.5862, 0.5000)  3 As 2.38-2.54, 1 Ni 2.58
Ni (0.2205, 0.7502, 0.0000)  4 As 2.23-2.41, 1 Ni 2.47
Ni (0.2498, 0.4703, 0.0000)  4 As 2.23-2.41, 1 Ni 2.47
Ni (0.2622, 0.9030, 0.5000)  4 As 2.38-2.43, 1 Ni 2.58
Ni (0.3095, 0.0783, 0.0000)  4 As 2.35-2.38
Ni (0.3583, 0.2554, 0.5000)  4 As 2.37-2.42
Ni (0.3923, 0.8061, 0.5000)  3 As 2.38-2.54, 1 Ni 2.58
Ni (0.4102, 0.4227, 0.0000)  4 As 2.35-2.40, 1 Ni 2.47
Ni (0.4138, 0.6077, 0.5000)  3 As 2.38-2.54, 1 Ni 2.58
Ni (0.5297, 0.7795, 0.0000)  4 As 2.23-2.41, 1 Ni 2.47
Ni (0.5773, 0.9875, 0.0000)  4 As 2.35-2.40, 1 Ni 2.47
Ni (0.6408, 0.7378, 0.5000)  4 As 2.38-2.43, 1 Ni 2.58
Ni (0.6667, 0.3333, 0.0000)  3 As 2.35
Ni (0.7446, 0.1029, 0.5000)  4 As 2.37-2.42
Ni (0.7689, 0.6905, 0.0000)  4 As 2.35-2.38
Ni (0.8971, 0.6417, 0.5000)  4 As 2.37-2.42
Ni (0.9217, 0.2311, 0.0000)  4 As 2.35-2.38
As (0.0604, 0.4359, 0.0000)  5 Ni 2.29-2.39
As (0.1004, 0.7021, 0.5000)  7 Ni 2.37-2.42
As (0.2023, 0.0510, 0.5000)  5 Ni 2.35-2.43
As (0.2979, 0.3984, 0.5000)  7 Ni 2.37-2.42
As (0.3333, 0.6667, 0.0000)  3 Ni 2.23
As (0.3755, 0.9396, 0.0000)  5 Ni 2.29-2.39
As (0.4660, 0.2776, 0.0000)  5 Ni 2.35-2.38
As (0.5641, 0.6245, 0.0000)  5 Ni 2.29-2.39
As (0.6016, 0.8996, 0.5000)  7 Ni 2.37-2.42
As (0.7224, 0.1885, 0.0000)  5 Ni 2.35-2.38
As (0.8115, 0.5340, 0.0000)  5 Ni 2.35-2.38
As (0.8486, 0.7977, 0.5000)  5 Ni 2.35-2.43
As (0.9490, 0.1514, 0.5000)  5 Ni 2.35-2.43

## Properties
E	-22.392	eV/atom
calculated formation energy	-0.74	eV per atom
D(E_F)	27.03	states/eV/f.u.